Material: BeFe3Si2
Method: DFT, PBE
State: optimized geometry

Calculated values
* energy: -42.3 eV per formula unit

Structure (POSCAR):
```
BeFe3Si2
1.0
-0.2432 -0.6103 -2.6562
-1.1395 -2.3997 0.6557
-7.2262 3.3988 -0.1193
Fe Be Si
3 1 2
Cartesian
-4.7568 2.2373 -0.0785 Fe
0.0000 0.0000 0.0000 Fe
-2.4695 1.1615 -0.0408 Fe
-4.3045 0.1944 -1.0599 Be
-1.9650 -0.9060 -1.0213 Si
-6.6440 1.2948 -1.0985 Si
```